Entry 1:
Entry from Alexandria via LeMat-Bulk: an optimized crystal structure of Nb2O3F (GGA-PBE).

Lattice parameters (Å, degrees): 2.973 8.548 5.653 90.00 90.00 90.00
Positions (direct):
Nb (0.000, 0.059, 0.000)
Nb (0.000, 0.941, 0.500)
Nb (0.500, 0.330, 0.823)
Nb (0.500, 0.670, 0.323)
O (0.000, 0.183, 0.669)
O (0.000, 0.294, 0.071)
O (0.000, 0.706, 0.571)
O (0.000, 0.817, 0.169)
O (0.500, 0.058, 0.284)
O (0.500, 0.942, 0.784)
F (0.500, 0.446, 0.490)
F (0.500, 0.554, 0.990)

M_tot ... 1.51 Bohr magnetons per cell
Space group ... Pmc2_1, No. 26
D(E_F) ... 2.916 states/eV per cell
Raw formation energy ... -2.38 eV per atom

=====

Entry 2:
Entry from Alexandria via LeMat-Bulk: an optimized crystal structure of La5PrGa6 (GGA-PBE).

Lattice parameters (Å, degrees): 8.430 8.430 7.527 90.00 90.00 143.19
Positions (direct):
La (0.000, 0.000, 0.000)
La (0.332, 0.668, 0.000)
La (0.333, 0.667, 0.500)
La (0.667, 0.333, 0.500)
La (0.668, 0.332, 0.000)
Pr (0.000, 0.000, 0.500)
Ga (0.165, 0.835, 0.252)
Ga (0.165, 0.835, 0.748)
Ga (0.500, 0.500, 0.252)
Ga (0.500, 0.500, 0.748)
Ga (0.835, 0.165, 0.252)
Ga (0.835, 0.165, 0.748)

M_tot ... 0.00 Bohr magnetons per cell
Space group ... Cmmm, No. 65
D(E_F) ... 8.058 states/eV per cell
DFT formation energy ... -563 meV per atom

=====

Entry 3:
Entry from Alexandria via LeMat-Bulk: an optimized crystal structure of ReW2Au (GGA-PBE).

Lattice parameters (Å, degrees): 3.990 3.990 3.999 90.00 90.00 90.00
Positions (direct):
Re (0.000, 0.000, 0.000)
W (0.000, 0.500, 0.500)
W (0.500, 0.000, 0.500)
Au (0.500, 0.500, 0.000)

M_tot ... 0.00 Bohr magnetons per cell
Space group ... P4/mmm, No. 123
D(E_F) ... 2.471 states/eV per cell
DFT formation energy ... 270 meV per atom
ΔE to the lowest computed polymorph ... 0 meV/atom

=====

Entry 4:
Entry from Alexandria via LeMat-Bulk: an optimized crystal structure of Co3ReAu (GGA-PBE).

Lattice parameters (Å, degrees): 4.422 4.422 4.422 90.00 90.00 90.00
Positions (direct):
Co (0.000, 0.000, 0.500)
Co (0.000, 0.500, 0.000)
Co (0.500, 0.000, 0.000)
Re (0.000, 0.000, 0.000)
Au (0.500, 0.500, 0.500)

M_tot ... 1.52 Bohr magnetons per cell
Space group ... Pm-3m, No. 221
D(E_F) ... 5.727 states/eV per cell
DFT formation energy ... 1442 meV per atom
ΔE to the lowest computed polymorph ... 0 meV/atom

=====

Entry 5:
Entry from Alexandria via LeMat-Bulk: an optimized crystal structure of Na2Ga2Hg (GGA-PBE).

Lattice parameters (Å, degrees): 7.102 7.102 4.831 90.00 90.00 90.00
Positions (direct):
Na (0.175, 0.325, 0.000)
Na (0.325, 0.825, 0.000)
Na (0.675, 0.175, 0.000)
Na (0.825, 0.675, 0.000)
Ga (0.127, 0.627, 0.500)
Ga (0.373, 0.127, 0.500)
Ga (0.627, 0.873, 0.500)
Ga (0.873, 0.373, 0.500)
Hg (0.000, 0.000, 0.500)
Hg (0.500, 0.500, 0.500)

M_tot ... 0.00 Bohr magnetons per cell
Space group ... P4/mbm, No. 127
D(E_F) ... 5.599 states/eV per cell
DFT formation energy ... -91 meV per atom
ΔE to the lowest computed polymorph ... 0 meV/atom

=====

Entry 6:
Entry from Alexandria via LeMat-Bulk: an optimized crystal structure of SrLiPrRu (GGA-PBE).

Lattice parameters (Å, degrees): 5.185 5.185 5.185 60.00 60.00 60.00
Positions (direct):
Sr (0.000, 0.000, 0.000)
Li (0.750, 0.750, 0.750)
Pr (0.500, 0.500, 0.500)
Ru (0.250, 0.250, 0.250)

M_tot ... 0.00 Bohr magnetons per cell
Space group ... F-43m, No. 216
D(E_F) ... 3.023 states/eV per cell
DFT formation energy ... 118 meV per atom

=====

Let's list raw total energy in order: -102.36 -54.33 -40.55 -29.83 -18.89 -17.18 eV per cell.